[1]
Crystalline PuTlGa at its relaxed geometry, computed with PBE.

For the energy relative to the lowest polymorph listed for this composition, the calculation gives 81 meV per atom. The formation energy comes out at -0.07 eV/atom. Its magnetic moment is 12.11 μB per cell.

It has space group I4mm (No. 107), with a = 3.415 Å, b = 3.415 Å, c = 12.527 Å, α = 90.00°, β = 90.00° and γ = 90.00°. The distinct sites, in fractional coordinates, are Pu at (0.000, 0.000, 0.000), Tl at (0.000, 0.000, 0.307) and Ga at (0.000, 0.000, 0.654).

---

[2]
Crystalline PuTlGa at its relaxed geometry, computed with PBE.

For the energy relative to the lowest polymorph listed for this composition, the calculation gives 58 meV per atom. The formation energy comes out at -0.09 eV/atom. Its magnetic moment is 6.01 μB per cell.

It has space group P-6m2 (No. 187), with a = 4.9696 Å, b = 4.9696 Å, c = 3.4031 Å, α = 90.00°, β = 90.00° and γ = 120.00°. The distinct sites, in fractional coordinates, are Pu at (0.0000, 0.0000, 0.0000), Tl at (0.3333, 0.6667, 0.5000) and Ga at (0.6667, 0.3333, 0.5000).

---

[3]
Crystalline PuTl2Ga at its relaxed geometry, computed with PBE.

For the energy relative to the lowest polymorph listed for this composition, the calculation gives 108 meV per atom. The formation energy comes out at 0.03 eV/atom. Its magnetic moment is 6.12 μB per cell.

It has space group P4/mmm (No. 123), with a = 3.735 Å, b = 3.735 Å, c = 7.389 Å, α = 90.00°, β = 90.00° and γ = 90.00°. The distinct sites, in fractional coordinates, are Pu at (0.000, 0.000, 0.000), Tl at (0.500, 0.500, 0.277) and Ga at (0.000, 0.000, 0.500).

---

[4]
Crystalline Pu2TlGa at its relaxed geometry, computed with PBE.

For the energy relative to the lowest polymorph listed for this composition, the calculation gives 104 meV per atom. The formation energy comes out at -0.06 eV/atom. Its magnetic moment is 47.39 μB per cell.

It has space group Fm-3m (No. 225), with a = 7.432 Å, b = 7.432 Å, c = 7.432 Å, α = 90.00°, β = 90.00° and γ = 90.00°. The distinct sites, in fractional coordinates, are Pu at (0.250, 0.250, 0.250), Tl at (0.000, 0.000, 0.000) and Ga at (0.000, 0.000, 0.500).

---

[5]
Crystalline Pu2TlGa at its relaxed geometry, computed with PBE.

For the energy relative to the lowest polymorph listed for this composition, the calculation gives 0 meV per atom. The formation energy comes out at -0.16 eV/atom. Its magnetic moment is 11.22 μB per cell.

It has space group P4/mmm (No. 123), with a = 3.229 Å, b = 3.229 Å, c = 9.290 Å, α = 90.00°, β = 90.00° and γ = 90.00°. The distinct sites, in fractional coordinates, are Pu at (0.000, 0.000, 0.229), Tl at (0.500, 0.500, 0.500) and Ga at (0.500, 0.500, 0.000).

---

[6]
Crystalline Pu2TlGa at its relaxed geometry, computed with PBE.

For the energy relative to the lowest polymorph listed for this composition, the calculation gives 34 meV per atom. The formation energy comes out at -0.13 eV/atom. Its magnetic moment is 11.20 μB per cell.

It has space group P4/mmm (No. 123), with a = 4.515 Å, b = 4.515 Å, c = 4.736 Å, α = 90.00°, β = 90.00° and γ = 90.00°. The distinct sites, in fractional coordinates, are Pu at (0.000, 0.500, 0.000), Tl at (0.000, 0.000, 0.500) and Ga at (0.500, 0.500, 0.500).

---

[7]
Crystalline TmPuTlGa at its relaxed geometry, computed with PBE.

The formation energy comes out at -0.23 eV/atom. Its magnetic moment is 23.68 μB per cell.

It has space group F-43m (No. 216), with a = 7.380 Å, b = 7.380 Å, c = 7.380 Å, α = 90.00°, β = 90.00° and γ = 90.00°. The distinct sites, in fractional coordinates, are Tm at (0.000, 0.000, 0.000), Pu at (0.000, 0.000, 0.500), Tl at (0.250, 0.250, 0.750) and Ga at (0.250, 0.250, 0.250).

---

[8]
Crystalline PuTlZnGa at its relaxed geometry, computed with PBE.

The formation energy comes out at -0.03 eV/atom. Its magnetic moment is 23.35 μB per cell.

It has space group F-43m (No. 216), with a = 7.081 Å, b = 7.081 Å, c = 7.081 Å, α = 90.00°, β = 90.00° and γ = 90.00°. The distinct sites, in fractional coordinates, are Pu at (0.000, 0.000, 0.000), Tl at (0.000, 0.000, 0.500), Zn at (0.250, 0.250, 0.250) and Ga at (0.250, 0.250, 0.750).

---

[9]
Crystalline TmPu3Ga4 at its relaxed geometry, computed with PBE.

The formation energy comes out at -0.35 eV/atom. Its magnetic moment is 5.37 μB per cell.

It has space group P4/mmm (No. 123), with a = 3.171 Å, b = 3.171 Å, c = 17.323 Å, α = 90.00°, β = 90.00° and γ = 90.00°. The distinct sites, in fractional coordinates, are Tm at (0.000, 0.000, 0.000), Pu at (0.000, 0.000, 0.246), Pu at (0.000, 0.000, 0.500), Ga at (0.500, 0.500, 0.121) and Ga at (0.500, 0.500, 0.373).

---

[10]
Crystalline TmPu2Ga6 at its relaxed geometry, computed with PBE.

For the energy relative to the lowest polymorph listed for this composition, the calculation gives 0 meV per atom. The formation energy comes out at -0.45 eV/atom. Its magnetic moment is 11.39 μB per cell.

It has space group P6/mmm (No. 191), with a = 7.8107 Å, b = 7.8107 Å, c = 3.4453 Å, α = 90.00°, β = 90.00° and γ = 120.00°. The distinct sites, in fractional coordinates, are Tm at (0.0000, 0.0000, 0.0000), Pu at (0.3333, 0.6667, 0.0000) and Ga at (0.0000, 0.3308, 0.5000).

---

[11]
Crystalline TmPu2Ga6 at its relaxed geometry, computed with PBE.

For the energy relative to the lowest polymorph listed for this composition, the calculation gives 173 meV per atom. The formation energy comes out at -0.27 eV/atom. Its magnetic moment is 21.98 μB per cell.

It has space group Immm (No. 71), with a = 4.385 Å, b = 6.999 Å, c = 12.991 Å, α = 90.00°, β = 90.00° and γ = 90.00°. The distinct sites, in fractional coordinates, are Tm at (0.000, 0.000, 0.000), Pu at (0.000, 0.500, 0.116), Ga at (0.000, 0.205, 0.500) and Ga at (0.000, 0.307, 0.311).

---

[12]
Crystalline TmPu2Ga9 at its relaxed geometry, computed with PBE.

For the energy relative to the lowest polymorph listed for this composition, the calculation gives 0 meV per atom. The formation energy comes out at -0.42 eV/atom. Its magnetic moment is 10.64 μB per cell.

It has space group P4/mmm (No. 123), with a = 4.270 Å, b = 4.270 Å, c = 12.777 Å, α = 90.00°, β = 90.00° and γ = 90.00°. The distinct sites, in fractional coordinates, are Tm at (0.000, 0.000, 0.000), Pu at (0.000, 0.000, 0.331), Ga at (0.000, 0.500, 0.166), Ga at (0.000, 0.500, 0.500), Ga at (0.500, 0.500, 0.000) and Ga at (0.500, 0.500, 0.335).

---

Which of these has the highest magnetic moment?
number 4

---

What is the magnetic moment in the eleventh record?
21.98 μB per cell